# In2NiSnTe, relaxed, DFT GGA-PBE
# - Final energy: -3.829 eV/atom
# - V: 25.758 Å³/atom
# - Crystal system: tetragonal
# - DOS(E_F): 1.05 states/eV/f.u.
# - Formation energy (no corrections): -0.148 eV per atom
data_In2NiSnTe
_chemical_formula_sum 'In2 Ni1 Sn1 Te1'
_cell_length_a 5.071
_cell_length_b 5.071
_cell_length_c 5.009
_cell_angle_alpha 90.00
_cell_angle_beta 90.00
_cell_angle_gamma 90.00
_space_group_name_H-M_alt 'P 4/m m m'
_space_group_IT_number 123
_space_group_name_Hall '-P 4 2'
loop_
_atom_site_label
_atom_site_type_symbol
_atom_site_fract_x
_atom_site_fract_y
_atom_site_fract_z
In1 In 0.000 0.500 0.000
Ni1 Ni 0.000 0.000 0.000
Sn1 Sn 0.000 0.000 0.500
Te1 Te 0.500 0.500 0.500


# Pr4Te2SN, relaxed, DFT GGA-PBE
# - Final energy: -6.247 eV/atom
# - V: 26.576 Å³/atom
# - Crystal system: monoclinic
# - DOS(E_F): 2.41 states/eV/f.u.
# - Formation energy (no corrections): -1.515 eV per atom
data_Pr4Te2SN
_chemical_formula_sum 'Pr4 Te2 S1 N1'
_cell_length_a 7.162
_cell_length_b 4.093
_cell_length_c 7.623
_cell_angle_alpha 90.00
_cell_angle_beta 107.96
_cell_angle_gamma 90.00
_space_group_name_H-M_alt 'P 1 2/m 1'
_space_group_IT_number 10
_space_group_name_Hall '-P 2y'
loop_
_atom_site_label
_atom_site_type_symbol
_atom_site_fract_x
_atom_site_fract_y
_atom_site_fract_z
Pr1 Pr 0.211 0.000 0.193
Pr2 Pr 0.241 0.500 0.802
Te1 Te 0.000 0.000 0.500
Te2 Te 0.500 0.500 0.500
S1 S 0.500 0.000 0.000
N1 N 0.000 0.500 0.000


# GaPt3Rh, relaxed, DFT GGA-PBE
# - Final energy: -6.009 eV/atom
# - V: 15.133 Å³/atom
# - ΔH_f (0 K): -0.309 eV per atom
# - Crystal system: orthorhombic
# - DOS(E_F): 5.91 states/eV/f.u.
data_GaPt3Rh
_chemical_formula_sum 'Ga4 Pt12 Rh4'
_cell_length_a 3.953
_cell_length_b 19.589
_cell_length_c 3.909
_cell_angle_alpha 90.00
_cell_angle_beta 90.00
_cell_angle_gamma 90.00
_space_group_name_H-M_alt 'C m c m'
_space_group_IT_number 63
_space_group_name_Hall '-C 2c 2'
loop_
_atom_site_label
_atom_site_type_symbol
_atom_site_fract_x
_atom_site_fract_y
_atom_site_fract_z
Ga1 Ga 0.000 0.148 0.250
Pt1 Pt 0.000 0.055 0.750
Pt2 Pt 0.000 0.248 0.750
Pt3 Pt 0.000 0.449 0.750
Rh1 Rh 0.000 0.348 0.250


# Hf2CrB2, relaxed, DFT GGA-PBE
# - Final energy: -9.139 eV/atom
# - V: 12.689 Å³/atom
# - ΔH_f (0 K): -0.562 eV per atom
# - Crystal system: tetragonal
# - DOS(E_F): 3.50 states/eV/f.u.
data_Hf2CrB2
_chemical_formula_sum 'Hf4 Cr2 B4'
_cell_length_a 6.144
_cell_length_b 6.144
_cell_length_c 3.361
_cell_angle_alpha 90.00
_cell_angle_beta 90.00
_cell_angle_gamma 90.00
_space_group_name_H-M_alt 'P 4/m b m'
_space_group_IT_number 127
_space_group_name_Hall '-P 4 2ab'
loop_
_atom_site_label
_atom_site_type_symbol
_atom_site_fract_x
_atom_site_fract_y
_atom_site_fract_z
Hf1 Hf 0.185 0.315 0.000
Cr1 Cr 0.000 0.000 0.500
B1 B 0.105 0.605 0.500


# Ac2Pa2Ge2N, relaxed, DFT GGA-PBE
# - Final energy: -7.251 eV/atom
# - V: 25.964 Å³/atom
# - Crystal system: tetragonal
# - DOS(E_F): 7.79 states/eV/f.u.
# - Formation energy (no corrections): -0.856 eV per atom
data_Ac2Pa2Ge2N
_chemical_formula_sum 'Ac4 Pa4 Ge4 N2'
_cell_length_a 4.646
_cell_length_b 4.646
_cell_length_c 16.839
_cell_angle_alpha 90.00
_cell_angle_beta 90.00
_cell_angle_gamma 90.00
_space_group_name_H-M_alt 'I 4/m m m'
_space_group_IT_number 139
_space_group_name_Hall '-I 4 2'
loop_
_atom_site_label
_atom_site_type_symbol
_atom_site_fract_x
_atom_site_fract_y
_atom_site_fract_z
Ac1 Ac 0.000 0.000 0.174
Pa1 Pa 0.000 0.500 0.000
Ge1 Ge 0.000 0.000 0.376
N1 N 0.000 0.000 0.000


# ScAu2, relaxed, DFT GGA-PBE
# - Final energy: -4.844 eV/atom
# - V: 19.843 Å³/atom
# - ΔH_f (0 K): -0.549 eV per atom
# - Crystal system: hexagonal
# - DOS(E_F): 1.50 states/eV/f.u.
data_ScAu2
_chemical_formula_sum 'Sc3 Au6'
_cell_length_a 7.6763
_cell_length_b 7.6763
_cell_length_c 3.4996
_cell_angle_alpha 90.00
_cell_angle_beta 90.00
_cell_angle_gamma 120.00
_space_group_name_H-M_alt 'P -6 2 m'
_space_group_IT_number 189
_space_group_name_Hall 'P -6 -2'
loop_
_atom_site_label
_atom_site_type_symbol
_atom_site_fract_x
_atom_site_fract_y
_atom_site_fract_z
Sc1 Sc 0.0000 0.0000 0.0000
Sc2 Sc 0.3333 0.6667 0.5000
Au1 Au 0.0000 0.2828 0.5000
Au2 Au 0.0000 0.6227 0.0000